# BeSbCl2 (PBE, optimized geometry)
# Total energy = -2.391 eV per atom
# Crystal system = cubic
# Density of states at the Fermi level = 3.70 states/eV/f.u.
# Energy relative to the lowest polymorph listed for this composition = 1.178 eV/atom
# ΔE_f (raw) = 0.495 eV/atom
data_BeSbCl2
_chemical_formula_sum 'Be4 Sb4 Cl8'
_cell_length_a 6.879
_cell_length_b 6.879
_cell_length_c 6.879
_cell_angle_alpha 90.00
_cell_angle_beta 90.00
_cell_angle_gamma 90.00
_symmetry_space_group_name_H-M 'F -4 3 m'
_symmetry_Int_Tables_number 216
_symmetry_space_group_name_Hall 'F -4 2 3'
loop_
_atom_site_label
_atom_site_type_symbol
_atom_site_fract_x
_atom_site_fract_y
_atom_site_fract_z
Be1 Be 0.000 0.000 0.000
Sb1 Sb 0.250 0.250 0.250
Cl1 Cl 0.000 0.000 0.500
Cl2 Cl 0.250 0.250 0.750



# Be2SbCl (PBE, optimized geometry)
# Total energy = -2.758 eV per atom
# Crystal system = tetragonal
# Density of states at the Fermi level = 0.81 states/eV/f.u.
# Energy relative to the lowest polymorph listed for this composition = 0.753 eV/atom
# ΔE_f (raw) = 0.597 eV/atom
data_Be2SbCl
_chemical_formula_sum 'Be2 Sb1 Cl1'
_cell_length_a 3.277
_cell_length_b 3.277
_cell_length_c 6.715
_cell_angle_alpha 90.00
_cell_angle_beta 90.00
_cell_angle_gamma 90.00
_symmetry_space_group_name_H-M 'P 4/m m m'
_symmetry_Int_Tables_number 123
_symmetry_space_group_name_Hall '-P 4 2'
loop_
_atom_site_label
_atom_site_type_symbol
_atom_site_fract_x
_atom_site_fract_y
_atom_site_fract_z
Be1 Be 0.000 0.000 0.208
Sb1 Sb 0.500 0.500 0.000
Cl1 Cl 0.500 0.500 0.500



Look up the ΔE_f (raw) of the second one.
0.597 eV/atom



The lowest energy relative to the lowest polymorph listed for this composition belongs to which entry?
Be2SbCl



Number 1 is which compound?
BeSbCl2